Entry 1:
A relaxed Ba2NO crystal, computed with PBE-GGA.

```
16
Lattice="6.049 0.000 0.000 0.000 6.049 0.000 0.000 0.000 12.340" Properties=species:S:1:pos:R:3 pbc="T T T"
Ba 1.453 1.512 1.543
Ba 1.512 4.477 4.628
Ba 1.512 4.596 10.798
Ba 1.572 1.512 7.713
Ba 4.477 4.537 7.713
Ba 4.537 1.453 10.798
Ba 4.537 1.572 4.628
Ba 4.596 4.537 1.543
N 0.000 0.000 6.170
N 0.000 3.024 9.255
N 3.024 0.000 3.085
N 3.024 3.024 0.000
O 0.000 0.000 0.000
O 0.000 3.024 3.085
O 3.024 0.000 9.255
O 3.024 3.024 6.170
```

## Properties
Uncorrected formation energy, meV/atom: -1096
Excess energy over the best structure of this formula in the dataset, eV per formula unit: 0.22
Symmetry: No. 122


Entry 2:
A relaxed Na2In3Ga4Sn crystal, computed with PBE-GGA.

```
10
Lattice="4.618 0.000 0.000 0.000 4.618 0.000 0.000 0.000 12.060" Properties=species:S:1:pos:R:3 pbc="T T T"
Na 0.000 2.309 2.931
Na 2.309 0.000 9.129
In 0.000 2.309 10.414
In 2.309 0.000 1.646
In 2.309 2.309 6.030
Ga 0.000 0.000 0.000
Ga 0.000 2.309 7.740
Ga 2.309 0.000 4.320
Ga 2.309 2.309 0.000
Sn 0.000 0.000 6.030
```

## Properties
ΔE_f, meV/atom: -64
Symmetry: No. 115


Entry 3:
A relaxed Th3AgPd12 crystal, computed with PBE-GGA.

```
16
Lattice="4.208 0.000 0.000 0.000 4.208 0.000 0.000 0.000 16.360" Properties=species:S:1:pos:R:3 pbc="T T T"
Th 0.000 0.000 0.000
Th 0.000 0.000 4.308
Th 0.000 0.000 12.052
Ag 0.000 0.000 8.180
Pd 0.000 2.104 2.082
Pd 0.000 2.104 6.237
Pd 0.000 2.104 10.123
Pd 0.000 2.104 14.278
Pd 2.104 0.000 2.082
Pd 2.104 0.000 6.237
Pd 2.104 0.000 10.123
Pd 2.104 0.000 14.278
Pd 2.104 2.104 0.000
Pd 2.104 2.104 4.142
Pd 2.104 2.104 8.180
Pd 2.104 2.104 12.219
```

## Properties
ΔE_f, meV/atom: -745
Symmetry: No. 123


Entry 4:
A relaxed Tm3NbCo8 crystal, computed with PBE-GGA.

```
12
Lattice="2.472 1.427 8.086 -2.472 1.427 8.086 0.000 -2.855 8.086" Properties=species:S:1:pos:R:3 pbc="T T T"
Tm 0.000 0.000 0.000
Tm 0.000 0.000 3.064
Tm 0.000 0.000 15.141
Nb 0.000 0.000 12.167
Co 0.000 -1.405 5.505
Co -1.217 0.703 5.505
Co -1.223 -0.706 9.676
Co 0.000 0.000 7.589
Co 1.217 0.703 5.505
Co 1.223 -0.706 9.676
Co 0.000 1.412 9.676
Co 0.000 0.000 19.726
```

## Properties
ΔE_f, meV/atom: -202
Symmetry: No. 160


Entry 5:
A relaxed BaHg3Pb crystal, computed with PBE-GGA.

```
5
Lattice="5.809 0.000 0.000 0.000 5.809 0.000 0.000 0.000 5.809" Properties=species:S:1:pos:R:3 pbc="T T T"
Ba 0.000 0.000 0.000
Hg 0.000 2.905 2.905
Hg 2.905 0.000 2.905
Hg 2.905 2.905 0.000
Pb 2.905 2.905 2.905
```

## Properties
Excess energy over the best structure of this formula in the dataset, eV per formula unit: 1.23
ΔE_f, meV/atom: -78
Symmetry: No. 221


Entry 6:
A relaxed PdRhPb2 crystal, computed with PBE-GGA.

```
4
Lattice="3.452 0.000 0.000 0.000 4.467 0.000 -1.715 0.000 5.344" Properties=species:S:1:pos:R:3 pbc="T T T"
Pd 0.000 0.000 0.000
Rh 1.718 2.233 3.551
Pb -0.007 0.000 2.904
Pb 1.726 2.233 0.634
```

## Properties
Excess energy over the best structure of this formula in the dataset, eV per formula unit: 0.00
ΔE_f, meV/atom: -109
Symmetry: No. 6


Entry 7:
A relaxed Rb3Cd7Au4 crystal, computed with PBE-GGA.

```
14
Lattice="8.947 -2.460 0.000 8.947 2.460 0.000 -6.051 0.000 8.735" Properties=species:S:1:pos:R:3 pbc="T T T"
Rb 0.000 0.000 0.000
Rb 3.609 0.000 2.629
Rb 8.233 0.000 6.106
Cd -3.025 0.000 4.367
Cd 0.164 0.000 3.701
Cd -0.150 0.000 8.514
Cd 4.626 0.000 6.191
Cd 7.217 0.000 2.544
Cd 11.992 0.000 0.221
Cd 11.678 0.000 5.033
Au -2.893 0.000 7.286
Au 1.739 0.000 6.257
Au 10.103 0.000 2.478
Au 14.736 0.000 1.449
```

## Properties
ΔE_f, meV/atom: -179
Symmetry: No. 12


Entry 8:
A relaxed Nd5AsSe5 crystal, computed with PBE-GGA.

```
11
Lattice="6.693 -2.992 0.000 6.693 2.992 0.000 -2.672 0.000 8.022" Properties=species:S:1:pos:R:3 pbc="T T T"
Nd 0.000 0.000 0.000
Nd 2.723 0.000 5.354
Nd 4.091 0.000 1.378
Nd 6.624 0.000 6.644
Nd 7.992 0.000 2.669
As 6.693 0.000 0.000
Se 1.353 0.000 2.676
Se 0.035 0.000 6.710
Se 5.358 0.000 4.011
Se 10.680 0.000 1.312
Se 9.362 0.000 5.346
```

## Properties
Uncorrected formation energy, meV/atom: -1836
Symmetry: No. 12


Entry 9:
A relaxed Al3SiNi3 crystal, computed with PBE-GGA.

```
14
Lattice="3.847 0.000 0.000 0.000 5.540 0.000 0.000 0.000 9.301" Properties=species:S:1:pos:R:3 pbc="T T T"
Al 0.962 0.019 1.291
Al 0.962 2.751 1.291
Al 0.962 4.155 6.253
Al 2.885 1.385 3.049
Al 2.885 2.789 8.010
Al 2.885 5.521 8.010
Si 0.962 1.385 5.554
Si 2.885 4.155 3.747
Ni 0.962 2.865 3.764
Ni 0.962 4.155 8.692
Ni 0.962 5.445 3.764
Ni 2.885 0.095 5.537
Ni 2.885 1.385 0.609
Ni 2.885 2.675 5.537
```

## Properties
Uncorrected formation energy, meV/atom: -360
Excess energy over the best structure of this formula in the dataset, eV per formula unit: 0.94
Symmetry: No. 59


Entry 10:
A relaxed Nd2DyGa3Ir4 crystal, computed with PBE-GGA.

```
10
Lattice="4.263 0.000 0.000 0.000 4.263 0.000 0.000 0.000 11.135" Properties=species:S:1:pos:R:3 pbc="T T T"
Nd 0.000 2.131 2.477
Nd 2.131 0.000 8.657
Dy 0.000 0.000 5.567
Ga 0.000 2.131 9.821
Ga 2.131 0.000 1.313
Ga 2.131 2.131 5.567
Ir 0.000 0.000 0.000
Ir 0.000 2.131 7.304
Ir 2.131 0.000 3.831
Ir 2.131 2.131 0.000
```

## Properties
ΔE_f, meV/atom: -702
Symmetry: No. 115


Entry 11:
A relaxed TbZnNiPd crystal, computed with PBE-GGA.

```
16
Lattice="6.504 0.000 0.000 0.000 6.504 0.000 0.000 0.000 6.504" Properties=species:S:1:pos:R:3 pbc="T T T"
Tb 0.000 0.000 0.000
Tb 0.000 3.252 3.252
Tb 3.252 0.000 3.252
Tb 3.252 3.252 0.000
Zn 0.000 0.000 3.252
Zn 0.000 3.252 0.000
Zn 3.252 0.000 0.000
Zn 3.252 3.252 3.252
Ni 1.626 1.626 4.878
Ni 1.626 4.878 1.626
Ni 4.878 1.626 1.626
Ni 4.878 4.878 4.878
Pd 1.626 1.626 1.626
Pd 1.626 4.878 4.878
Pd 4.878 1.626 4.878
Pd 4.878 4.878 1.626
```

## Properties
ΔE_f, meV/atom: -481
Symmetry: No. 216


Entry 12:
A relaxed SrCdSn4 crystal, computed with PBE-GGA.

```
6
Lattice="4.133 0.000 0.000 0.000 4.232 0.000 -0.007 -0.017 9.959" Properties=species:S:1:pos:R:3 pbc="T T T"
Sr 0.000 0.000 0.000
Cd 2.063 2.108 4.980
Sn 0.004 0.014 3.418
Sn 2.055 2.089 7.880
Sn 2.072 2.126 2.080
Sn 4.122 4.201 6.542
```

## Properties
Excess energy over the best structure of this formula in the dataset, eV per formula unit: 0.38
ΔE_f, meV/atom: -176
Symmetry: No. 2


Entry 13:
A relaxed CaRe4Ni crystal, computed with PBE-GGA.

```
6
Lattice="0.000 3.723 3.723 3.723 0.000 3.723 3.723 3.723 0.000" Properties=species:S:1:pos:R:3 pbc="T T T"
Ca 0.000 0.000 0.000
Re 2.799 2.799 2.799
Re 4.647 4.647 2.799
Re 4.647 2.799 4.647
Re 2.799 4.647 4.647
Ni 5.585 5.585 5.585
```

## Properties
ΔE_f, meV/atom: 524
Symmetry: No. 216